# Be3Cu

A crystal of Be3Cu relaxed with PBEsol (SCAN, Alexandria).

a b c (Å): 4.1376 4.1376 4.1376
angles (deg): 90.00 90.00 90.00
Closest atoms and distances in Å follow each position.
Atoms (fractional coordinates):
Be 0.0000 0.2500 0.5000  2 Be 2.07, 4 Cu 2.31
Be 0.0000 0.7500 0.5000  2 Be 2.07, 4 Cu 2.31
Be 0.2500 0.5000 0.0000  2 Be 2.07, 4 Cu 2.31
Be 0.5000 0.0000 0.2500  2 Be 2.07, 4 Cu 2.31
Be 0.5000 0.0000 0.7500  2 Be 2.07, 4 Cu 2.31
Be 0.7500 0.5000 0.0000  2 Be 2.07, 4 Cu 2.31
Cu 0.0000 0.0000 0.0000  12 Be 2.31
Cu 0.5000 0.5000 0.5000  12 Be 2.31

Properties
VASP energy ... -7.11 eV/atom
Calculated formation energy ... -0.17 eV per formula unit


# Be3Cu

A crystal of Be3Cu relaxed with PBEsol (SCAN, Alexandria).

a b c (Å): 3.2664 3.2664 3.2664
angles (deg): 90.00 90.00 90.00
Closest atoms and distances in Å follow each position.
Atoms (fractional coordinates):
Be 0.0000 0.0000 0.5000  8 Be 2.31, 4 Cu 2.31
Be 0.0000 0.5000 0.0000  8 Be 2.31, 4 Cu 2.31
Be 0.5000 0.0000 0.0000  8 Be 2.31, 4 Cu 2.31
Cu 0.5000 0.5000 0.5000  12 Be 2.31

Properties
VASP energy ... -7.16 eV/atom
Calculated formation energy ... -0.38 eV per formula unit


# BeCu

A crystal of BeCu relaxed with PBEsol (SCAN, Alexandria).

a b c (Å): 4.4641 4.4641 4.4641
angles (deg): 145.47 130.32 61.90
Closest atoms and distances in Å follow each position.
Atoms (fractional coordinates):
Be 0.3805 0.1305 0.2500  2 Be 2.26, 6 Cu 2.30
Be 0.6195 0.8695 0.7500  2 Be 2.26, 6 Cu 2.30
Cu 0.1350 0.3850 0.7500  6 Be 2.30, 4 Cu 2.46-2.57
Cu 0.8650 0.6150 0.2500  6 Be 2.30, 4 Cu 2.46-2.57

Properties
VASP energy ... -9.93 eV/atom
Calculated formation energy ... -0.31 eV per formula unit


# Be2Cu

A crystal of Be2Cu relaxed with PBEsol (SCAN, Alexandria).

a b c (Å): 4.2023 4.2023 13.7068
angles (deg): 90.00 90.00 120.00
Closest atoms and distances in Å follow each position.
Atoms (fractional coordinates):
Be 0.0000 0.5000 0.0000  6 Be 2.08-2.10
Be 0.0000 0.5000 0.5000  6 Be 2.08-2.10
Be 0.1663 0.3326 0.2500  6 Be 2.10-2.12
Be 0.1663 0.8337 0.2500  6 Be 2.10-2.12
Be 0.3326 0.1663 0.7500  6 Be 2.10-2.12
Be 0.3333 0.6667 0.1236  6 Be 2.08-2.12
Be 0.3333 0.6667 0.3764  6 Be 2.08-2.12
Be 0.5000 0.0000 0.0000  6 Be 2.08-2.10
Be 0.5000 0.0000 0.5000  6 Be 2.08-2.10
Be 0.5000 0.5000 0.0000  6 Be 2.08-2.10
Be 0.5000 0.5000 0.5000  6 Be 2.08-2.10
Be 0.6667 0.3333 0.6236  6 Be 2.08-2.12
Be 0.6667 0.3333 0.8764  6 Be 2.08-2.12
Be 0.6674 0.8337 0.2500  6 Be 2.10-2.12
Be 0.8337 0.1663 0.7500  6 Be 2.10-2.12
Be 0.8337 0.6674 0.7500  6 Be 2.10-2.12
Cu 0.0000 0.0000 0.0959  12 Be 2.43-2.48, 4 Cu 2.56-2.63
Cu 0.0000 0.0000 0.4041  12 Be 2.43-2.48, 4 Cu 2.56-2.63
Cu 0.0000 0.0000 0.5959  12 Be 2.43-2.48, 4 Cu 2.56-2.63
Cu 0.0000 0.0000 0.9041  12 Be 2.43-2.48, 4 Cu 2.56-2.63
Cu 0.3333 0.6667 0.6562  12 Be 2.46-2.47, 4 Cu 2.56-2.57
Cu 0.3333 0.6667 0.8438  12 Be 2.46-2.47, 4 Cu 2.56-2.57
Cu 0.6667 0.3333 0.1562  12 Be 2.46-2.47, 4 Cu 2.56-2.57
Cu 0.6667 0.3333 0.3438  12 Be 2.46-2.47, 4 Cu 2.56-2.57

Properties
VASP energy ... -8.15 eV/atom
Calculated formation energy ... -0.55 eV per formula unit


# Be2Cu

A crystal of Be2Cu relaxed with PBEsol (SCAN, Alexandria).

a b c (Å): 4.1916 4.1916 4.1916
angles (deg): 142.92 142.92 53.45
Closest atoms and distances in Å follow each position.
Atoms (fractional coordinates):
Be 0.1725 0.1725 0.0000  4 Be 2.21, 5 Cu 2.29-2.45
Be 0.8275 0.8275 0.0000  4 Be 2.21, 5 Cu 2.29-2.45
Cu 0.5000 0.5000 0.0000  10 Be 2.29-2.45

Properties
VASP energy ... -8.11 eV/atom
Calculated formation energy ... -0.44 eV per formula unit


# BeCu

A crystal of BeCu relaxed with PBEsol (SCAN, Alexandria).

a b c (Å): 2.6614 2.6614 2.6614
angles (deg): 90.00 90.00 90.00
Closest atoms and distances in Å follow each position.
Atoms (fractional coordinates):
Be 0.0000 0.0000 0.0000  8 Cu 2.30
Cu 0.5000 0.5000 0.5000  8 Be 2.30

Properties
VASP energy ... -10.00 eV/atom
Calculated formation energy ... -0.44 eV per formula unit


# Be4Cu3

A crystal of Be4Cu3 relaxed with PBEsol (SCAN, Alexandria).

a b c (Å): 4.5289 4.5289 4.0769
angles (deg): 90.00 90.00 120.00
Closest atoms and distances in Å follow each position.
Atoms (fractional coordinates):
Be 0.0000 0.0000 0.2482  2 Be 2.02-2.05
Be 0.0000 0.0000 0.7518  2 Be 2.02-2.05
Be 0.3333 0.6667 0.5000  6 Cu 2.42, 3 Be 2.61
Be 0.6667 0.3333 0.5000  6 Cu 2.42, 3 Be 2.61
Cu 0.0000 0.5000 0.0000  4 Cu 2.26, 8 Be 2.42-2.48
Cu 0.5000 0.0000 0.0000  4 Cu 2.26, 8 Be 2.42-2.48
Cu 0.5000 0.5000 0.0000  4 Cu 2.26, 8 Be 2.42-2.48

Properties
VASP energy ... -8.87 eV/atom
Calculated formation energy ... 0.94 eV per formula unit


# Be7Cu

A crystal of Be7Cu relaxed with PBEsol (SCAN, Alexandria).

a b c (Å): 4.5494 4.5494 4.5494
angles (deg): 60.00 60.00 60.00
Closest atoms and distances in Å follow each position.
Atoms (fractional coordinates):
Be 0.0000 0.0000 0.0000  12 Be 2.27
Be 0.0000 0.0000 0.5000  10 Be 2.27, 2 Cu 2.27
Be 0.0000 0.5000 0.0000  10 Be 2.27, 2 Cu 2.27
Be 0.0000 0.5000 0.5000  10 Be 2.27, 2 Cu 2.27
Be 0.5000 0.0000 0.0000  10 Be 2.27, 2 Cu 2.27
Be 0.5000 0.0000 0.5000  10 Be 2.27, 2 Cu 2.27
Be 0.5000 0.5000 0.0000  10 Be 2.27, 2 Cu 2.27
Cu 0.5000 0.5000 0.5000  12 Be 2.27

Properties
VASP energy ... -5.71 eV/atom
Calculated formation energy ... 0.01 eV per formula unit